No. 1
VASP calculation (PBE) on an optimized crystal structure of Na6Sn2Pb.

Cell: 11.1816 11.1816 11.1816 Å, 28.35 28.35 28.35°
Last column: nearest neighbours and their distance in Å.
Element x y z (fractional)
Na 0.0810 0.0810 0.0810  3 Sn 3.17, 3 Na 3.53
Na 0.2036 0.2036 0.2036  4 Na 3.29-3.53, 3 Pb 3.38, 3 Sn 3.64
Na 0.3057 0.3057 0.3057  4 Sn 3.26-3.49, 7 Na 3.29-3.63
Na 0.6943 0.6943 0.6943  4 Sn 3.26-3.49, 7 Na 3.29-3.63
Na 0.7964 0.7964 0.7964  4 Na 3.29-3.53, 3 Pb 3.38, 3 Sn 3.64
Na 0.9190 0.9190 0.9190  3 Sn 3.17, 3 Na 3.53
Sn 0.4069 0.4069 0.4069  1 Pb 2.99, 4 Na 3.17-3.26
Sn 0.5931 0.5931 0.5931  1 Pb 2.99, 4 Na 3.17-3.26
Pb 0.5000 0.5000 0.5000  2 Sn 2.99

Results
* VASP energy: -2.315 eV per atom
* energy relative to the elements: -0.134 eV/atom
* space group: R-3m (166)
* energy above the most stable polymorph in this dataset: 20 meV/atom

=====

No. 2
VASP calculation (PBE) on an optimized crystal structure of Na8SnPb2.

Cell: 8.1759 8.1759 5.2794 Å, 90.00 90.00 104.24°
Last column: nearest neighbours and their distance in Å.
Element x y z (fractional)
Na 0.0382 0.2944 0.5000  7 Na 3.31-3.57, 2 Pb 3.35-3.69, 2 Sn 3.53
Na 0.2454 0.7546 0.0000  1 Sn 3.17, 2 Pb 3.18, 4 Na 3.47
Na 0.2944 0.0382 0.5000  7 Na 3.31-3.57, 2 Pb 3.35-3.69, 2 Sn 3.53
Na 0.3283 0.3283 0.0000  1 Sn 3.30, 5 Na 3.45-3.51, 4 Pb 3.50
Na 0.6717 0.6717 0.0000  1 Sn 3.30, 5 Na 3.45-3.51, 4 Pb 3.50
Na 0.7056 0.9618 0.5000  7 Na 3.31-3.57, 2 Pb 3.35-3.69, 2 Sn 3.53
Na 0.7546 0.2454 0.0000  1 Sn 3.17, 2 Pb 3.18, 4 Na 3.47
Na 0.9618 0.7056 0.5000  7 Na 3.31-3.57, 2 Pb 3.35-3.69, 2 Sn 3.53
Sn 0.0000 0.0000 0.0000  12 Na 3.17-3.53
Pb 0.3828 0.6172 0.5000  1 Pb 3.03, 4 Na 3.18-3.35
Pb 0.6172 0.3828 0.5000  1 Pb 3.03, 4 Na 3.18-3.35

Results
* VASP energy: -2.135 eV per atom
* energy relative to the elements: -0.138 eV/atom
* space group: Cmmm (65)
* energy above the most stable polymorph in this dataset: 0 meV/atom

=====

No. 3
VASP calculation (PBE) on an optimized crystal structure of NaSn7Pb12.

Cell: 9.5716 9.5716 9.5716 Å, 111.43 111.43 111.43°
Last column: nearest neighbours and their distance in Å.
Element x y z (fractional)
Na 0.0000 0.0000 0.0000  6 Pb 3.59, 6 Sn 3.79
Sn 0.1564 0.3063 0.4887  1 Sn 3.07, 6 Pb 3.26-3.39
Sn 0.3063 0.4887 0.1564  1 Sn 3.07, 6 Pb 3.26-3.39
Sn 0.4887 0.1564 0.3063  1 Sn 3.07, 6 Pb 3.26-3.39
Sn 0.5000 0.5000 0.5000  6 Sn 3.07
Sn 0.5113 0.8436 0.6937  1 Sn 3.07, 6 Pb 3.26-3.39
Sn 0.6937 0.5113 0.8436  1 Sn 3.07, 6 Pb 3.26-3.39
Sn 0.8436 0.6937 0.5113  1 Sn 3.07, 6 Pb 3.26-3.39
Pb 0.0674 0.5711 0.3685  3 Sn 3.26-3.39, 3 Pb 3.48-3.62
Pb 0.0995 0.1482 0.7331  3 Sn 3.28-3.33, 6 Pb 3.48-3.62, 1 Na 3.59
Pb 0.1482 0.7331 0.0995  3 Sn 3.28-3.33, 6 Pb 3.48-3.62, 1 Na 3.59
Pb 0.2669 0.9005 0.8518  3 Sn 3.28-3.33, 6 Pb 3.48-3.62, 1 Na 3.59
Pb 0.3685 0.0674 0.5711  3 Sn 3.26-3.39, 3 Pb 3.48-3.62
Pb 0.4289 0.6315 0.9326  3 Sn 3.26-3.39, 3 Pb 3.48-3.62
Pb 0.5711 0.3685 0.0674  3 Sn 3.26-3.39, 3 Pb 3.48-3.62
Pb 0.6315 0.9326 0.4289  3 Sn 3.26-3.39, 3 Pb 3.48-3.62
Pb 0.7331 0.0995 0.1482  3 Sn 3.28-3.33, 6 Pb 3.48-3.62, 1 Na 3.59
Pb 0.8518 0.2669 0.9005  3 Sn 3.28-3.33, 6 Pb 3.48-3.62, 1 Na 3.59
Pb 0.9005 0.8518 0.2669  3 Sn 3.28-3.33, 6 Pb 3.48-3.62, 1 Na 3.59
Pb 0.9326 0.4289 0.6315  3 Sn 3.26-3.39, 3 Pb 3.48-3.62

Results
* VASP energy: -3.664 eV per atom
* energy relative to the elements: 0.028 eV/atom
* space group: R-3 (148)

=====

No. 4
VASP calculation (PBE) on an optimized crystal structure of Na6SnPb2.

Cell: 8.1971 8.1971 5.7667 Å, 90.28 90.28 47.85°
Last column: nearest neighbours and their distance in Å.
Element x y z (fractional)
Na 0.1442 0.6541 0.8949  1 Sn 3.22, 3 Na 3.25-3.39, 2 Pb 3.29-3.34
Na 0.2947 0.2947 0.3972  1 Sn 3.13, 1 Pb 3.23
Na 0.3459 0.8558 0.1051  1 Sn 3.22, 3 Na 3.25-3.39, 2 Pb 3.29-3.34
Na 0.6541 0.1442 0.8949  1 Sn 3.22, 3 Na 3.25-3.39, 2 Pb 3.29-3.34
Na 0.7053 0.7053 0.6028  1 Sn 3.13, 1 Pb 3.23
Na 0.8558 0.3459 0.1051  1 Sn 3.22, 3 Na 3.25-3.39, 2 Pb 3.29-3.34
Sn 0.5000 0.5000 0.5000  6 Na 3.13-3.22
Pb 0.0953 0.0953 0.6097  1 Pb 3.12, 5 Na 3.23-3.34
Pb 0.9047 0.9047 0.3903  1 Pb 3.12, 5 Na 3.23-3.34

Results
* VASP energy: -2.233 eV per atom
* energy relative to the elements: -0.085 eV/atom
* space group: C2/m (12)
* energy above the most stable polymorph in this dataset: 64 meV/atom

=====

No. 5
VASP calculation (PBE) on an optimized crystal structure of NaSn6Pb2.

Cell: 7.0103 7.0103 6.2904 Å, 90.00 90.00 60.05°
Last column: nearest neighbours and their distance in Å.
Element x y z (fractional)
Na 0.0000 0.0000 0.0000  6 Sn 3.06
Sn 0.1858 0.1858 0.3290  1 Na 3.06, 4 Sn 3.10-3.12
Sn 0.1860 0.6283 0.3282  1 Na 3.06, 4 Sn 3.10-3.12
Sn 0.3717 0.8140 0.6718  1 Na 3.06, 4 Sn 3.10-3.12
Sn 0.6283 0.1860 0.3282  1 Na 3.06, 4 Sn 3.10-3.12
Sn 0.8140 0.3717 0.6718  1 Na 3.06, 4 Sn 3.10-3.12
Sn 0.8142 0.8142 0.6710  1 Na 3.06, 4 Sn 3.10-3.12
Pb 0.3338 0.3338 0.8203  12 Sn 3.57-3.67
Pb 0.6662 0.6662 0.1797  12 Sn 3.57-3.67

Results
* VASP energy: -3.560 eV per atom
* energy relative to the elements: 0.079 eV/atom
* space group: C2/m (12)
* energy above the most stable polymorph in this dataset: 101 meV/atom

=====

No. 6
VASP calculation (PBE) on an optimized crystal structure of Na3SnPb.

Cell: 5.7862 5.7862 5.7862 Å, 90.00 90.00 90.00°
Last column: nearest neighbours and their distance in Å.
Element x y z (fractional)
Na 0.0000 0.0000 0.5000  2 Pb 2.89
Na 0.0000 0.5000 0.0000  2 Pb 2.89
Na 0.5000 0.0000 0.0000  2 Pb 2.89
Sn 0.5000 0.5000 0.5000  12 Na 4.09
Pb 0.0000 0.0000 0.0000  6 Na 2.89

Results
* VASP energy: -1.985 eV per atom
* energy relative to the elements: 0.349 eV/atom
* space group: Pm-3m (221)
* energy above the most stable polymorph in this dataset: 499 meV/atom

=====

No. 7
VASP calculation (PBE) on an optimized crystal structure of Na5Sn2Pb5.

Cell: 5.2570 6.0952 12.4967 Å, 95.04 90.18 115.44°
Last column: nearest neighbours and their distance in Å.
Element x y z (fractional)
Na 0.0000 0.0000 0.0000  8 Pb 3.41-3.53, 4 Na 3.72-3.77
Na 0.3388 0.6758 0.4821  3 Pb 3.17-3.39, 2 Sn 3.28-3.48, 2 Na 3.31-3.33
Na 0.4414 0.8680 0.1996  2 Sn 3.31-3.32, 5 Pb 3.39-3.61
Na 0.5586 0.1320 0.8004  2 Sn 3.31-3.32, 5 Pb 3.39-3.61
Na 0.6612 0.3242 0.5179  3 Pb 3.17-3.39, 2 Sn 3.28-3.48, 2 Na 3.31-3.33
Sn 0.1935 0.4075 0.7049  4 Pb 3.06-3.25, 3 Na 3.28-3.32
Sn 0.8065 0.5925 0.2951  4 Pb 3.06-3.25, 3 Na 3.28-3.32
Pb 0.0000 0.0000 0.5000  4 Na 3.17, 2 Sn 3.23, 2 Pb 3.31
Pb 0.1321 0.2462 0.2687  2 Sn 3.24-3.25, 1 Pb 3.31, 5 Na 3.39-3.61
Pb 0.3071 0.6146 0.9412  1 Sn 3.06, 2 Pb 3.32, 3 Na 3.39-3.41
Pb 0.6929 0.3854 0.0588  1 Sn 3.06, 2 Pb 3.32, 3 Na 3.39-3.41
Pb 0.8679 0.7538 0.7313  2 Sn 3.24-3.25, 1 Pb 3.31, 5 Na 3.39-3.61

Results
* VASP energy: -2.880 eV per atom
* energy relative to the elements: -0.118 eV/atom
* space group: P-1 (2)
* energy above the most stable polymorph in this dataset: 0 meV/atom

=====

No. 8
VASP calculation (PBE) on an optimized crystal structure of NaSnPb3.

Cell: 3.5428 14.2389 14.2389 Å, 155.49 90.00 90.00°
Last column: nearest neighbours and their distance in Å.
Element x y z (fractional)
Na 0.2500 0.1525 0.8475  6 Pb 3.29-3.48, 4 Sn 3.48-3.52, 2 Na 3.54
Na 0.7500 0.8475 0.1525  6 Pb 3.29-3.48, 4 Sn 3.48-3.52, 2 Na 3.54
Sn 0.2500 0.3447 0.6479  6 Pb 3.36-3.43, 4 Na 3.48-3.52, 2 Sn 3.54
Sn 0.7500 0.6479 0.3447  6 Pb 3.36-3.43, 4 Na 3.48-3.52, 2 Sn 3.54
Pb 0.2500 0.3742 0.2676  1 Na 3.38, 2 Sn 3.43, 8 Pb 3.46-3.54
Pb 0.2500 0.7610 0.8663  1 Sn 3.36, 8 Pb 3.42-3.54, 2 Na 3.48
Pb 0.2500 0.9309 0.4336  3 Na 3.29-3.45, 3 Sn 3.36-3.42, 6 Pb 3.50-3.54
Pb 0.7500 0.2676 0.3742  1 Na 3.38, 2 Sn 3.43, 8 Pb 3.46-3.54
Pb 0.7500 0.4336 0.9309  3 Na 3.29-3.45, 3 Sn 3.36-3.42, 6 Pb 3.50-3.54
Pb 0.7500 0.8663 0.7610  1 Sn 3.36, 8 Pb 3.42-3.54, 2 Na 3.48

Results
* VASP energy: -3.345 eV per atom
* energy relative to the elements: -0.055 eV/atom
* space group: Ama2 (40)
* energy above the most stable polymorph in this dataset: 0 meV/atom

=====

No. 9
VASP calculation (PBE) on an optimized crystal structure of Na4Sn2Pb5.

Cell: 8.5967 3.3161 11.1771 Å, 90.00 94.57 90.00°
Last column: nearest neighbours and their distance in Å.
Element x y z (fractional)
Na 0.1656 0.0000 0.3927  2 Na 3.32, 2 Sn 3.40, 8 Pb 3.45-3.62
Na 0.2897 0.0000 0.9410  2 Na 3.32, 6 Pb 3.44-3.52, 4 Sn 3.46-3.47
Na 0.7103 0.0000 0.0590  2 Na 3.32, 6 Pb 3.44-3.52, 4 Sn 3.46-3.47
Na 0.8344 0.0000 0.6073  2 Na 3.32, 2 Sn 3.40, 8 Pb 3.45-3.62
Sn 0.0581 0.5000 0.1332  3 Sn 3.06-3.32, 2 Pb 3.21-3.23, 2 Na 3.40
Sn 0.9419 0.5000 0.8668  3 Sn 3.06-3.32, 2 Pb 3.21-3.23, 2 Na 3.40
Pb 0.1908 0.5000 0.6673  1 Sn 3.21, 4 Pb 3.32-3.46, 6 Na 3.48-3.52
Pb 0.4293 0.5000 0.2043  1 Sn 3.23, 4 Pb 3.31-3.46, 4 Na 3.44-3.50
Pb 0.5000 0.5000 0.5000  6 Pb 3.31-3.37, 4 Na 3.45
Pb 0.5707 0.5000 0.7957  1 Sn 3.23, 4 Pb 3.31-3.46, 4 Na 3.44-3.50
Pb 0.8092 0.5000 0.3327  1 Sn 3.21, 4 Pb 3.32-3.46, 6 Na 3.48-3.52

Results
* VASP energy: -3.006 eV per atom
* energy relative to the elements: -0.113 eV/atom
* space group: P2/m (10)

=====

No. 10
VASP calculation (PBE) on an optimized crystal structure of Na2SnPb2.

Cell: 5.9213 5.9213 11.4912 Å, 90.53 90.53 45.99°
Last column: nearest neighbours and their distance in Å.
Element x y z (fractional)
Na 0.0608 0.0608 0.3459  7 Pb 3.33-3.50, 3 Sn 3.40-3.43, 1 Na 3.54
Na 0.1510 0.1510 0.0506  4 Na 3.38-3.54, 5 Pb 3.42-3.47, 3 Sn 3.45-3.52
Na 0.8490 0.8490 0.9494  4 Na 3.38-3.54, 5 Pb 3.42-3.47, 3 Sn 3.45-3.52
Na 0.9392 0.9392 0.6541  7 Pb 3.33-3.50, 3 Sn 3.40-3.43, 1 Na 3.54
Sn 0.2331 0.2331 0.7547  4 Pb 3.22-3.34, 6 Na 3.40-3.52
Sn 0.7669 0.7669 0.2453  4 Pb 3.22-3.34, 6 Na 3.40-3.52
Pb 0.3500 0.3500 0.4410  5 Na 3.33-3.50, 2 Sn 3.34, 4 Pb 3.47-3.53
Pb 0.4485 0.4485 0.1546  2 Sn 3.22, 7 Na 3.41-3.47, 1 Pb 3.47
Pb 0.5515 0.5515 0.8454  2 Sn 3.22, 7 Na 3.41-3.47, 1 Pb 3.47
Pb 0.6500 0.6500 0.5590  5 Na 3.33-3.50, 2 Sn 3.34, 4 Pb 3.47-3.53

Results
* VASP energy: -2.950 eV per atom
* energy relative to the elements: -0.138 eV/atom
* space group: C2/m (12)
* energy above the most stable polymorph in this dataset: 0 meV/atom